Entry 1:
Computed, not measured: crystalline LiCa2Nb at its relaxed geometry at the GGA-PBE level of DFT.

E above lowest polymorph in meV/atom: 111
Total DFT energy (no corrections) in Ha/atom: -0.1206
Energy of formation from the pure elements in eV per atom: 0.715

abc: 3.2396 3.2396 35.4829
angles: 90.00 90.00 120.00
Last column: nearest neighbours and their distance in Å.
Fractional coordinates of all 12 atoms:
Li 0.0000 0.0000 0.0000  6 Li 3.24, 6 Ca 3.45
Li 0.3333 0.6667 0.6667  6 Li 3.24, 6 Ca 3.45
Li 0.6667 0.3333 0.3333  6 Li 3.24, 6 Ca 3.45
Ca 0.0000 0.0000 0.4150  1 Nb 3.02, 6 Ca 3.24
Ca 0.0000 0.0000 0.5850  1 Nb 3.02, 6 Ca 3.24
Ca 0.3333 0.6667 0.0816  1 Nb 3.02, 6 Ca 3.24
Ca 0.3333 0.6667 0.2517  1 Nb 3.02, 6 Ca 3.24
Ca 0.6667 0.3333 0.7483  1 Nb 3.02, 6 Ca 3.24
Ca 0.6667 0.3333 0.9184  1 Nb 3.02, 6 Ca 3.24
Nb 0.0000 0.0000 0.5000  2 Ca 3.02, 6 Nb 3.24
Nb 0.3333 0.6667 0.1667  2 Ca 3.02, 6 Nb 3.24
Nb 0.6667 0.3333 0.8333  2 Ca 3.02, 6 Nb 3.24


Entry 2:
Computed, not measured: crystalline LiCaNb at its relaxed geometry at the GGA-PBE level of DFT.

E above lowest polymorph in meV/atom: 190
Total DFT energy (no corrections) in Ha/atom: -0.1574
Energy of formation from the pure elements in eV per atom: 0.379

abc: 4.7543 3.3284 8.8813
angles: 90.00 105.42 90.00
Last column: nearest neighbours and their distance in Å.
Fractional coordinates of all 6 atoms:
Li 0.0731 0.2500 0.1430  4 Ca 2.96, 2 Li 2.96, 2 Nb 3.24
Li 0.9269 0.7500 0.8570  4 Ca 2.96, 2 Li 2.96, 2 Nb 3.24
Ca 0.3931 0.2500 0.7887  4 Li 2.96, 4 Nb 3.21-3.24
Ca 0.6069 0.7500 0.2113  4 Li 2.96, 4 Nb 3.21-3.24
Nb 0.2340 0.7500 0.4675  4 Nb 2.95-2.96, 4 Ca 3.21-3.24, 2 Li 3.24
Nb 0.7660 0.2500 0.5325  4 Nb 2.95-2.96, 4 Ca 3.21-3.24, 2 Li 3.24